# 1
The following is a PBE-GGA calculation of a relaxed LiMn2NiN crystal, from the Alexandria database.

Structure (POSCAR):
```
LiMn2NiN
1.0
3.778 0.000 0.000
0.000 3.778 0.000
0.000 0.000 3.833
Li Ni Mn N
1 1 2 1
Direct
0.500 0.500 0.500 Li
0.000 0.000 0.500 Ni
0.500 0.000 0.000 Mn
0.000 0.500 0.000 Mn
0.000 0.000 0.000 N
```

DOS(E_F): 3.00 states/eV/f.u.
formation energy without anion corrections: -57 kJ/mol of formula units
excess energy over the best structure of this formula in the dataset: 0.048 eV per atom



# 2
The following is a PBE-GGA calculation of a relaxed LiMnNi2N crystal, from the Alexandria database.

Structure (POSCAR):
```
LiMnNi2N
1.0
3.794 0.000 0.000
0.000 3.794 0.000
0.000 0.000 3.819
Ni N Li Mn
2 1 1 1
Direct
0.500 0.000 0.000 Ni
0.000 0.500 0.000 Ni
0.000 0.000 0.000 N
0.500 0.500 0.500 Li
0.000 0.000 0.500 Mn
```

DOS(E_F): 5.01 states/eV/f.u.
formation energy without anion corrections: -68 kJ/mol of formula units



# 3
The following is a PBE-GGA calculation of a relaxed LiMn2NiN crystal, from the Alexandria database.

Structure (POSCAR):
```
LiMn2NiN
1.0
-0.712 2.600 -2.623
1.496 -2.239 -2.626
-3.429 -1.564 -0.620
Li Ni Mn N
1 1 2 1
Direct
0.000 0.000 0.500 Li
0.500 0.500 0.500 Ni
0.000 0.500 0.000 Mn
0.500 0.000 0.000 Mn
0.000 0.000 0.000 N
```

DOS(E_F): 2.99 states/eV/f.u.
formation energy without anion corrections: -80 kJ/mol of formula units
excess energy over the best structure of this formula in the dataset: 0.000 eV per atom



# 4
The following is a PBE-GGA calculation of a relaxed Li3Np3MnN8 crystal, from the Alexandria database.

Structure (POSCAR):
```
Li3Np3MnN8
1.0
6.600 0.000 0.000
-3.300 5.717 -0.023
0.000 -3.791 5.001
N Li Np Mn
8 3 3 1
Direct
0.253 0.027 0.300 N
0.740 0.480 0.720 N
0.773 0.027 0.300 N
0.227 0.973 0.700 N
0.747 0.973 0.700 N
0.260 0.520 0.280 N
0.774 0.547 0.300 N
0.226 0.453 0.700 N
0.000 0.500 0.000 Li
0.000 0.000 0.000 Li
0.500 0.500 0.000 Li
0.500 0.000 0.500 Np
0.500 0.500 0.500 Np
0.000 0.500 0.500 Np
0.000 0.000 0.500 Mn
```

DOS(E_F): 12.60 states/eV/f.u.
formation energy without anion corrections: -972 kJ/mol of formula units



# 5
The following is a PBE-GGA calculation of a relaxed LiNpMnN3 crystal, from the Alexandria database.

Structure (POSCAR):
```
LiNpMnN3
1.0
-3.194 0.906 -0.562
-1.493 -5.915 -1.052
-1.487 -0.433 7.756
Np N Li Mn
2 6 2 2
Direct
0.250 0.635 0.170 Np
0.750 0.365 0.830 Np
0.250 0.126 0.842 N
0.250 0.592 0.884 N
0.750 0.408 0.116 N
0.750 0.178 0.564 N
0.750 0.874 0.158 N
0.250 0.822 0.436 N
0.750 0.865 0.891 Li
0.250 0.135 0.109 Li
0.250 0.053 0.606 Mn
0.750 0.947 0.394 Mn
```

DOS(E_F): 6.85 states/eV/f.u.
formation energy without anion corrections: -374 kJ/mol of formula units



# 6
The following is a PBE-GGA calculation of a relaxed LiMn2PN crystal, from the Alexandria database.

Structure (POSCAR):
```
LiMn2PN
1.0
-1.203 1.949 -2.719
-0.089 -2.906 -2.044
-4.932 -0.921 1.522
Li P Mn N
1 1 2 1
Direct
0.000 0.000 0.449 Li
0.500 0.500 0.648 P
0.500 0.000 0.922 Mn
0.000 0.500 0.922 Mn
0.000 0.000 0.059 N
```

DOS(E_F): 3.37 states/eV/f.u.
formation energy without anion corrections: -214 kJ/mol of formula units